Compound: Sn2Hg2Au
Source: Alexandria
Functional: PBE
Structure: relaxed

Cell lengths 4.132, 4.132, 15.932 Å; angles 90.00, 90.00, 90.00 degrees
Space group I4/mmm (No. 139)
Symmetry-distinct sites (fractional):
Sn 0.000 0.500 0.250
Hg 0.000 0.000 0.089
Au 0.000 0.000 0.500

## Properties
**Excess energy over the best structure of this formula in the dataset**: 303.7 meV per atom
**ρ**: 10.20 Mg/m³
**Uncorrected energy**: -2.11 eV/atom
**Spin magnetization**: 0.00 μB per cell
**N(E_F)**: 1.90 states/eV/f.u.
**ΔE_f**: 0.27 eV per atom